DFT (PBE) results for crystalline Zn2CrCl at its relaxed geometry.

a = 12.245 Å, b = 3.048 Å, c = 4.194 Å
α = 90.00°, β = 109.91°, γ = 90.00°
Space group C2/m (No. 12)
One atom of each set of equivalent atoms:
Zn (0.225, 0.000, 0.225) [4 per cell]
Cr (0.000, 0.500, 0.000) [2 per cell]
Cl (0.000, 0.000, 0.500) [2 per cell]

## Properties
The calculation puts the distance to the lowest polymorph of the same formula at 8.1 kJ/mol of atoms. The uncorrected formation energy comes out at 0.13 eV per atom.

***

DFT (PBE) results for crystalline Sc6AsP5 at its relaxed geometry.

a = 6.544 Å, b = 11.332 Å, c = 6.539 Å
α = 90.00°, β = 109.48°, γ = 90.00°
Space group C2/m (No. 12)
One atom of each set of equivalent atoms:
Sc (0.245, 0.000, 0.252) [4 per cell]
Sc (0.246, 0.169, 0.747) [8 per cell]
As (0.000, 0.500, 0.000) [2 per cell]
P (0.000, 0.000, 0.500) [2 per cell]
P (0.000, 0.167, 0.000) [4 per cell]
P (0.000, 0.335, 0.500) [4 per cell]

## Properties
The formation energy comes out at -1.470 eV/atom.

***

DFT (PBE) results for crystalline ZrAl2Cu at its relaxed geometry.

a = 4.5272 Å, b = 4.5272 Å, c = 8.4356 Å
α = 90.00°, β = 90.00°, γ = 120.00°
Space group P6_3/mmc (No. 194)
One atom of each set of equivalent atoms:
Zr (0.3333, 0.6667, 0.2500) [2 per cell]
Al (0.3333, 0.6667, 0.5850) [4 per cell]
Cu (0.0000, 0.0000, 0.2500) [2 per cell]

## Properties
The formation energy comes out at 0.004 eV/atom.